Here is an optimized crystal structure of SmB3C3 from Alexandria via LeMat-Bulk. Energies are from PBE.

Cell: 4.969 4.969 6.653 Å, 68.07 68.07 60.00°
Positions (direct):
Sm  0.332  0.332  0.004
Sm  0.668  0.668  0.996
B  0.449  0.794  0.634
B  0.794  0.123  0.634
B  0.123  0.449  0.634
B  0.877  0.551  0.366
B  0.206  0.877  0.366
B  0.551  0.206  0.366
C  0.223  0.562  0.324
C  0.891  0.223  0.324
C  0.562  0.891  0.324
C  0.438  0.109  0.676
C  0.109  0.777  0.676
C  0.777  0.438  0.676

Calculated values
Energy of formation   0.146 eV/atom
Volume   9.168 A^3/atom
Magnetic moment   0.000 μB/cell
Space-group type   R-3



Here is an optimized crystal structure of Sm2B6C3 from Alexandria via LeMat-Bulk. Energies are from PBE.

Cell: 4.613 5.294 5.294 Å, 120.00 90.00 90.00°
Positions (direct):
Sm  0.000  0.667  0.333
Sm  0.000  0.333  0.667
B  0.500  0.668  0.668
B  0.500  0.000  0.332
B  0.000  0.170  0.170
B  0.000  0.830  0.000
B  0.500  0.332  0.000
B  0.000  0.000  0.830
C  0.500  0.340  0.340
C  0.500  0.660  0.000
C  0.500  0.000  0.660

Calculated values
Energy of formation   0.554 eV/atom
Volume   10.179 A^3/atom
Magnetic moment   0.000 μB/cell
Space-group type   P-62m



Here is an optimized crystal structure of Sm2B2C3 from Alexandria via LeMat-Bulk. Energies are from PBE.

Cell: 3.749 3.905 8.017 Å, 114.18 103.52 90.00°
Positions (direct):
Sm  0.347  0.944  0.694
Sm  0.653  0.056  0.306
B  0.079  0.359  0.157
B  0.921  0.641  0.843
C  0.000  0.000  0.000
C  0.174  0.635  0.348
C  0.826  0.365  0.652

Calculated values
Energy of formation   -0.258 eV/atom
Volume   14.785 A^3/atom
Magnetic moment   0.000 μB/cell
Space-group type   C2/m



Here is an optimized crystal structure of SmTcBC from Alexandria via LeMat-Bulk. Energies are from PBE.

Cell: 3.671 3.671 8.351 Å, 90.00 90.00 90.00°
Positions (direct):
Sm  0.000  0.500  0.840
Sm  0.500  0.000  0.160
Tc  0.000  0.000  0.500
Tc  0.500  0.500  0.500
B  0.000  0.500  0.319
B  0.500  0.000  0.681
C  0.500  0.000  0.859
C  0.000  0.500  0.141

Calculated values
Energy of formation   -0.235 eV/atom
Volume   14.066 A^3/atom
Magnetic moment   0.001 μB/cell
Space-group type   P4/nmm



Here is an optimized crystal structure of Sn2BC from Alexandria via LeMat-Bulk. Energies are from PBE.

Cell: 4.463 4.463 4.463 Å, 60.00 60.00 60.00°
Positions (direct):
C  0.500  0.500  0.500
B  0.000  0.000  0.000
Sn  0.250  0.250  0.250
Sn  0.750  0.750  0.750

Calculated values
Energy of formation   1.770 eV/atom
Volume   15.716 A^3/atom
Energy above the most stable polymorph in this dataset   0.9555 eV per atom
Magnetic moment   0.000 μB/cell
Space-group type   Fm-3m



Here is an optimized crystal structure of SnBC2 from Alexandria via LeMat-Bulk. Energies are from PBE.

Cell: 4.499 4.499 5.355 Å, 65.16 65.16 90.00°
Positions (direct):
C  0.531  0.125  0.250
C  0.219  0.625  0.250
C  0.375  0.469  0.750
C  0.875  0.781  0.750
B  0.500  0.500  0.000
B  0.250  0.750  0.500
Sn  0.000  0.000  0.000
Sn  0.750  0.250  0.500

Calculated values
Energy of formation   0.863 eV/atom
Volume   10.900 A^3/atom
Energy above the most stable polymorph in this dataset   0.0000 eV per atom
Magnetic moment   0.000 μB/cell
Space-group type   I-42d



Here is an optimized crystal structure of SnBC2 from Alexandria via LeMat-Bulk. Energies are from PBE.

Cell: 3.952 3.952 3.952 Å, 60.00 60.00 60.00°
Positions (direct):
C  0.250  0.250  0.250
C  0.750  0.750  0.750
B  0.000  0.000  0.000
Sn  0.500  0.500  0.500

Calculated values
Energy of formation   2.774 eV/atom
Volume   10.913 A^3/atom
Energy above the most stable polymorph in this dataset   1.9116 eV per atom
Magnetic moment   0.000 μB/cell
Space-group type   Fm-3m



Here is an optimized crystal structure of SnBC3 from Alexandria via LeMat-Bulk. Energies are from PBE.

Cell: 4.313 4.313 4.313 Å, 90.00 90.00 90.00°
Positions (direct):
C  0.000  0.500  0.000
C  0.000  0.000  0.500
C  0.500  0.000  0.000
B  0.500  0.500  0.500
Sn  0.000  0.000  0.000

Calculated values
Energy of formation   3.874 eV/atom
Volume   16.044 A^3/atom
Energy above the most stable polymorph in this dataset   1.4835 eV per atom
Magnetic moment   0.000 μB/cell
Space-group type   Pm-3m



Here is an optimized crystal structure of SnB2C from Alexandria via LeMat-Bulk. Energies are from PBE.

Cell: 4.555 4.555 5.453 Å, 65.31 65.31 90.00°
Positions (direct):
C  0.500  0.500  0.000
C  0.250  0.750  0.500
B  0.487  0.125  0.250
B  0.263  0.625  0.250
B  0.375  0.513  0.750
B  0.875  0.737  0.750
Sn  0.000  0.000  0.000
Sn  0.750  0.250  0.500

Calculated values
Energy of formation   0.710 eV/atom
Volume   11.411 A^3/atom
Energy above the most stable polymorph in this dataset   0.0000 eV per atom
Magnetic moment   0.000 μB/cell
Space-group type   I-42d



Here is an optimized crystal structure of SnB2C2 from Alexandria via LeMat-Bulk. Energies are from PBE.

Cell: 6.373 6.373 2.710 Å, 90.00 90.00 90.00°
Positions (direct):
C  0.083  0.583  0.500
C  0.583  0.917  0.500
C  0.917  0.417  0.500
C  0.417  0.083  0.500
B  0.395  0.895  0.000
B  0.895  0.605  0.000
B  0.605  0.105  0.000
B  0.105  0.395  0.000
Sn  0.000  0.000  0.000
Sn  0.500  0.500  0.000

Calculated values
Energy of formation   1.751 eV/atom
Volume   11.005 A^3/atom
Energy above the most stable polymorph in this dataset   0.0153 eV per atom
Magnetic moment   0.000 μB/cell
Space-group type   P4/mbm



Here is an optimized crystal structure of Sn2BC from Alexandria via LeMat-Bulk. Energies are from PBE.

Cell: 5.233 5.233 6.352 Å, 65.68 65.68 90.00°
Positions (direct):
C  0.000  0.000  0.000
C  0.750  0.250  0.500
B  0.500  0.500  0.000
B  0.250  0.750  0.500
Sn  0.634  0.125  0.250
Sn  0.116  0.625  0.250
Sn  0.375  0.366  0.750
Sn  0.875  0.884  0.750

Calculated values
Energy of formation   0.815 eV/atom
Volume   17.670 A^3/atom
Energy above the most stable polymorph in this dataset   0.0000 eV per atom
Magnetic moment   0.000 μB/cell
Space-group type   I-42d



Here is an optimized crystal structure of SnBC3 from Alexandria via LeMat-Bulk. Energies are from PBE.

Cell: 3.650 3.650 3.650 Å, 90.00 90.00 90.00°
Positions (direct):
C  0.000  0.500  0.000
C  0.000  0.000  0.500
C  0.500  0.000  0.000
B  0.000  0.000  0.000
Sn  0.500  0.500  0.500

Calculated values
Energy of formation   2.390 eV/atom
Volume   9.725 A^3/atom
Energy above the most stable polymorph in this dataset   0.0000 eV per atom
Magnetic moment   0.000 μB/cell
Space-group type   Pm-3m



Here is an optimized crystal structure of SnB2C from Alexandria via LeMat-Bulk. Energies are from PBE.

Cell: 4.064 4.064 4.064 Å, 60.00 60.00 60.00°
Positions (direct):
C  0.000  0.000  0.000
B  0.250  0.250  0.250
B  0.750  0.750  0.750
Sn  0.500  0.500  0.500

Calculated values
Energy of formation   2.552 eV/atom
Volume   11.869 A^3/atom
Energy above the most stable polymorph in this dataset   1.8419 eV per atom
Magnetic moment   0.000 μB/cell
Space-group type   Fm-3m



Here is an optimized crystal structure of SnB2C2 from Alexandria via LeMat-Bulk. Energies are from PBE.

Cell: 3.557 3.557 4.431 Å, 66.34 66.34 90.00°
Positions (direct):
C  0.750  0.250  0.500
C  0.250  0.750  0.500
B  0.364  0.364  0.271
B  0.636  0.636  0.729
Sn  0.000  0.000  0.000

Calculated values
Energy of formation   1.736 eV/atom
Volume   9.233 A^3/atom
Energy above the most stable polymorph in this dataset   0.0000 eV per atom
Magnetic moment   0.000 μB/cell
Space-group type   I4/mmm



Here is an optimized crystal structure of YSnB6C6 from Alexandria via LeMat-Bulk. Energies are from PBE.

Cell: 4.852 4.852 4.852 Å, 90.00 90.00 90.00°
Positions (direct):
Y  0.500  0.500  0.500
Sn  0.000  0.000  0.000
B  0.248  0.500  0.000
B  0.752  0.500  0.000
B  0.500  0.000  0.248
B  0.500  0.000  0.752
B  0.000  0.248  0.500
B  0.000  0.752  0.500
C  0.255  0.000  0.500
C  0.745  0.000  0.500
C  0.000  0.500  0.255
C  0.000  0.500  0.745
C  0.500  0.255  0.000
C  0.500  0.745  0.000

Calculated values
Energy of formation   0.317 eV/atom
Volume   8.161 A^3/atom
Magnetic moment   0.000 μB/cell
Space-group type   Pm-3



Here is an optimized crystal structure of Sr2BC from Alexandria via LeMat-Bulk. Energies are from PBE.

Cell: 4.847 4.847 4.847 Å, 60.00 60.00 60.00°
Positions (direct):
Sr  0.250  0.250  0.250
Sr  0.750  0.750  0.750
C  0.500  0.500  0.500
B  0.000  0.000  0.000

Calculated values
Energy of formation   1.142 eV/atom
Volume   20.126 A^3/atom
Magnetic moment   0.000 μB/cell
Space-group type   Fm-3m



Here is an optimized crystal structure of SrBC from Alexandria via LeMat-Bulk. Energies are from PBE.

Cell: 5.318 5.318 5.318 Å, 90.00 90.00 90.00°
Positions (direct):
B  0.350  0.650  0.150
B  0.150  0.350  0.650
B  0.650  0.150  0.350
B  0.850  0.850  0.850
C  0.408  0.408  0.408
C  0.092  0.592  0.908
C  0.908  0.092  0.592
C  0.592  0.908  0.092
Sr  0.136  0.136  0.136
Sr  0.636  0.364  0.864
Sr  0.364  0.864  0.636
Sr  0.864  0.636  0.364

Calculated values
Energy of formation   0.710 eV/atom
Volume   12.534 A^3/atom
Energy above the most stable polymorph in this dataset   0.4533 eV per atom
Magnetic moment   0.000 μB/cell
Space-group type   P2_13



Here is an optimized crystal structure of Sr2B6C3 from Alexandria via LeMat-Bulk. Energies are from PBE.

Cell: 2.972 6.739 6.739 Å, 120.00 90.00 90.00°
Positions (direct):
Sr  0.000  0.667  0.333
Sr  0.000  0.333  0.667
B  0.500  0.761  0.761
B  0.500  0.000  0.239
B  0.000  0.151  0.151
B  0.000  0.849  0.000
B  0.500  0.239  0.000
B  0.000  0.000  0.849
C  0.500  0.252  0.252
C  0.500  0.748  0.000
C  0.500  0.000  0.748

Calculated values
Energy of formation   0.427 eV/atom
Volume   10.626 A^3/atom
Magnetic moment   0.000 μB/cell
Space-group type   P-62m



Here is an optimized crystal structure of SrBC from Alexandria via LeMat-Bulk. Energies are from PBE.

Cell: 3.029 3.029 8.992 Å, 90.00 90.00 120.00°
Positions (direct):
Sr  0.000  0.000  0.000
Sr  0.000  0.000  0.500
C  0.667  0.333  0.750
C  0.333  0.667  0.250
B  0.667  0.333  0.250
B  0.333  0.667  0.750

Calculated values
Energy of formation   0.257 eV/atom
Volume   11.911 A^3/atom
Energy above the most stable polymorph in this dataset   0.0000 eV per atom
Magnetic moment   0.000 μB/cell
Space-group type   P6_3/mmc



Here is an optimized crystal structure of SrB3C from Alexandria via LeMat-Bulk. Energies are from PBE.

Cell: 3.874 3.874 3.874 Å, 90.00 90.00 90.00°
Positions (direct):
Sr  0.500  0.500  0.500
C  0.000  0.000  0.000
B  0.000  0.500  0.000
B  0.000  0.000  0.500
B  0.500  0.000  0.000

Calculated values
Energy of formation   1.902 eV/atom
Volume   11.627 A^3/atom
Energy above the most stable polymorph in this dataset   0.0000 eV per atom
Magnetic moment   0.000 μB/cell
Space-group type   Pm-3m



Here is an optimized crystal structure of SrBC3 from Alexandria via LeMat-Bulk. Energies are from PBE.

Cell: 3.735 3.735 3.735 Å, 90.00 90.00 90.00°
Positions (direct):
Sr  0.500  0.500  0.500
C  0.000  0.500  0.000
C  0.000  0.000  0.500
C  0.500  0.000  0.000
B  0.000  0.000  0.000

Calculated values
Energy of formation   1.971 eV/atom
Volume   10.424 A^3/atom
Energy above the most stable polymorph in this dataset   0.0000 eV per atom
Magnetic moment   0.000 μB/cell
Space-group type   Pm-3m



Here is an optimized crystal structure of SrBC3 from Alexandria via LeMat-Bulk. Energies are from PBE.

Cell: 4.722 4.722 4.722 Å, 90.00 90.00 90.00°
Positions (direct):
Sr  0.000  0.000  0.000
C  0.000  0.500  0.000
C  0.000  0.000  0.500
C  0.500  0.000  0.000
B  0.500  0.500  0.500

Calculated values
Energy of formation   4.432 eV/atom
Volume   21.057 A^3/atom
Energy above the most stable polymorph in this dataset   2.4615 eV per atom
Magnetic moment   0.000 μB/cell
Space-group type   Pm-3m



Here is an optimized crystal structure of SrB3C3 from Alexandria via LeMat-Bulk. Energies are from PBE.

Cell: 4.887 4.887 4.887 Å, 90.00 90.00 90.00°
Positions (direct):
Sr  0.500  0.500  0.500
Sr  0.000  0.000  0.000
C  0.000  0.250  0.500
C  0.000  0.750  0.500
C  0.500  0.000  0.750
C  0.750  0.500  0.000
C  0.500  0.000  0.250
C  0.250  0.500  0.000
B  0.250  0.000  0.500
B  0.000  0.500  0.250
B  0.500  0.750  0.000
B  0.750  0.000  0.500
B  0.000  0.500  0.750
B  0.500  0.250  0.000

Calculated values
Energy of formation   0.102 eV/atom
Volume   8.336 A^3/atom
Energy above the most stable polymorph in this dataset   0.0000 eV per atom
Magnetic moment   0.000 μB/cell
Space-group type   Pm-3n



Here is an optimized crystal structure of SrB3C3 from Alexandria via LeMat-Bulk. Energies are from PBE.

Cell: 5.648 6.367 6.367 Å, 120.00 90.00 90.00°
Positions (direct):
Sr  0.250  0.333  0.667
Sr  0.750  0.667  0.333
B  0.750  0.635  0.817
B  0.750  0.183  0.365
B  0.250  0.817  0.183
B  0.750  0.183  0.817
B  0.250  0.817  0.635
B  0.250  0.365  0.183
C  0.750  0.430  0.861
C  0.750  0.430  0.570
C  0.250  0.861  0.430
C  0.750  0.139  0.570
C  0.250  0.570  0.430
C  0.250  0.570  0.139

Calculated values
Energy of formation   1.128 eV/atom
Volume   14.165 A^3/atom
Energy above the most stable polymorph in this dataset   1.0266 eV per atom
Magnetic moment   0.000 μB/cell
Space-group type   P6_3/mmc



Here is an optimized crystal structure of Sr3BC from Alexandria via LeMat-Bulk. Energies are from PBE.

Cell: 5.274 5.274 5.274 Å, 90.00 90.00 90.00°
Each line ends with the local moment (μB).
Positions (direct):
Sr  0.000  0.500  0.000  0.07
Sr  0.000  0.000  0.500  0.06
Sr  0.500  0.000  0.000  0.09
C  0.000  0.000  0.000  0.31
B  0.500  0.500  0.500  0.49

Calculated values
Energy of formation   0.917 eV/atom
Volume   29.338 A^3/atom
Energy above the most stable polymorph in this dataset   0.0000 eV per atom
Magnetic moment   2.837 μB/cell
Space-group type   Pm-3m